(1)
A plane-wave DFT calculation with PBE was carried out for a geometry-optimized SrPr3Pa4N12 structure.

Lattice parameters (Å, degrees): 7.4761 7.4761 7.4761 109.47 109.47 109.47
Fractional positions:
Sr1 0.0000 0.0000 0.0000
Pr1 0.0000 0.5000 0.5000
Pr2 0.5000 0.5000 0.0000
Pr3 0.5000 0.0000 0.5000
Pa1 0.5000 0.0000 0.0000
Pa2 0.5000 0.5000 0.5000
Pa3 0.0000 0.5000 0.0000
Pa4 0.0000 0.0000 0.5000
N1 0.2950 0.7906 0.0856
N2 0.7050 0.2094 0.9144
N3 0.7050 0.7906 0.4955
N4 0.9144 0.7050 0.2094
N5 0.7906 0.0856 0.2950
N6 0.2094 0.5045 0.2950
N7 0.5045 0.2950 0.2094
N8 0.2094 0.9144 0.7050
N9 0.2950 0.2094 0.5045
N10 0.0856 0.2950 0.7906
N11 0.7906 0.4955 0.7050
N12 0.4955 0.7050 0.7906

Calculated values
Magnetization (μB/f.u.): 0.004
Formation energy (no corrections) (eV/atom): -1.0997
Volume (Å³/cell): 322
Symmetry: Im-3 (204)
Total energy (eV per atom): -8.7951



(2)
A plane-wave DFT calculation with PBE was carried out for a geometry-optimized Ac3Pr3MgS8 structure.

Lattice parameters (Å, degrees): 8.2807 8.2807 8.3837 119.60 90.00 120.00
Fractional positions:
Ac1 0.0000 0.0000 0.0000
Ac2 0.0000 0.5000 0.0000
Ac3 0.5000 0.5000 0.0000
Pr1 0.5000 0.0000 0.5000
Pr2 0.5000 0.5000 0.5000
Pr3 0.0000 0.5000 0.5000
Mg1 0.0000 0.0000 0.5000
S1 0.2539 0.5079 0.2618
S2 0.7461 0.4921 0.7382
S3 0.7685 0.5371 0.2755
S4 0.2315 0.4629 0.7245
S5 0.7685 0.0070 0.2755
S6 0.2315 0.9930 0.7245
S7 0.2385 0.0070 0.2755
S8 0.7615 0.9930 0.7245

Calculated values
Magnetization (μB/f.u.): 0.000
Formation energy (no corrections) (eV/atom): -1.9482
Volume (Å³/cell): 409
Symmetry: R-3m (166)
Total energy (eV per atom): -6.0334



(3)
A plane-wave DFT calculation with PBE was carried out for a geometry-optimized CsReO2F structure.

Lattice parameters (Å, degrees): 4.5101 4.5101 5.1651 90.00 90.00 90.00
Fractional positions:
Cs1 0.0000 0.0000 0.0000
Re1 0.5000 0.5000 0.5000
O1 0.0000 0.5000 0.0000
O2 0.5000 0.0000 0.0000
F1 0.0000 0.0000 0.5000

Calculated values
Magnetization (μB/f.u.): 5.012
Formation energy (no corrections) (eV/atom): 1.1639
Volume (Å³/cell): 105
Symmetry: P4/mmm (123)
Total energy (eV per atom): -3.8540



(4)
A plane-wave DFT calculation with PBE was carried out for a geometry-optimized LaSi2Tc2B structure.

Lattice parameters (Å, degrees): 4.2437 4.2437 5.4087 90.00 90.00 90.00
Fractional positions:
La1 0.0000 0.0000 0.5000
Si1 0.5000 0.5000 0.7379
Si2 0.5000 0.5000 0.2621
Tc1 0.5000 0.0000 0.0000
Tc2 0.0000 0.5000 0.0000
B1 0.0000 0.0000 0.0000

Calculated values
Magnetization (μB/f.u.): 0.000
Formation energy (no corrections) (eV/atom): -0.6472
Volume (Å³/cell): 97
Symmetry: P4/mmm (123)
Total energy (eV per atom): -7.8443



(5)
A plane-wave DFT calculation with PBE was carried out for a geometry-optimized Ba2LiIn structure.

Lattice parameters (Å, degrees): 7.0652 7.0652 7.0652 145.28 129.43 62.80
Fractional positions:
Li1 0.3017 0.8017 0.5000
Ba1 0.0197 0.0197 0.0000
Ba2 0.7173 0.2173 0.5000
In1 0.4614 0.4614 0.0000

Calculated values
Magnetization (μB/f.u.): 0.004
Volume (Å³/cell): 153
Symmetry: Imm2 (44)
Total energy (eV per atom): -2.3105



(6)
A plane-wave DFT calculation with PBE was carried out for a geometry-optimized HgOs2 structure.

Lattice parameters (Å, degrees): 5.6195 4.0400 8.8113 90.00 90.00 90.00
Fractional positions:
Os1 0.1027 0.2500 0.2786
Os2 0.0978 0.2500 0.5789
Os3 0.4022 0.7500 0.0789
Os4 0.3973 0.7500 0.7786
Os5 0.6027 0.2500 0.2214
Os6 0.5978 0.2500 0.9211
Os7 0.9022 0.7500 0.4211
Os8 0.8973 0.7500 0.7214
Hg1 0.1050 0.2500 0.9086
Hg2 0.3950 0.7500 0.4086
Hg3 0.6050 0.2500 0.5914
Hg4 0.8950 0.7500 0.0914

Calculated values
Magnetization (μB/f.u.): 0.000
Volume (Å³/cell): 200
Symmetry: Pnma (62)
Total energy (eV per atom): -6.6376
ΔE to the lowest computed polymorph (meV per atom): 554



(7)
A plane-wave DFT calculation with PBE was carried out for a geometry-optimized CaSn2Br6 structure.

Lattice parameters (Å, degrees): 7.5195 10.1188 10.1188 87.84 89.91 89.91
Fractional positions:
Ca1 0.2500 0.0868 0.9132
Ca2 0.7500 0.9132 0.0868
Sn1 0.4382 0.6491 0.8343
Sn2 0.0618 0.1657 0.3509
Sn3 0.5618 0.3509 0.1657
Sn4 0.9382 0.8343 0.6491
Br1 0.7387 0.5820 0.7028
Br2 0.7613 0.2972 0.4180
Br3 0.2613 0.4180 0.2972
Br4 0.2387 0.7028 0.5820
Br5 0.8878 0.8963 0.3507
Br6 0.6122 0.6493 0.1037
Br7 0.1122 0.1037 0.6493
Br8 0.3878 0.3507 0.8963
Br9 0.0643 0.8295 0.9355
Br10 0.4357 0.0645 0.1705
Br11 0.9357 0.1705 0.0645
Br12 0.5643 0.9355 0.8295

Calculated values
Magnetization (μB/f.u.): 0.000
Formation energy (no corrections) (eV/atom): -1.1669
Volume (Å³/cell): 769
Symmetry: C2/c (15)
Total energy (eV per atom): -3.3940
ΔE to the lowest computed polymorph (meV per atom): 22



(8)
A plane-wave DFT calculation with PBE was carried out for a geometry-optimized SrHf2Pb structure.

Lattice parameters (Å, degrees): 4.8009 4.8009 11.4309 77.88 77.88 90.00
Fractional positions:
Pb1 0.0000 0.0000 0.0000
Pb2 0.7500 0.2500 0.5000
Sr1 0.5000 0.5000 0.0000
Sr2 0.2500 0.7500 0.5000
Hf1 0.7405 0.1250 0.2500
Hf2 0.0095 0.6250 0.2500
Hf3 0.3750 0.2595 0.7500
Hf4 0.8750 0.9905 0.7500

Calculated values
Magnetization (μB/f.u.): 0.000
Volume (Å³/cell): 252
Symmetry: I-42d (122)
Total energy (eV per atom): -5.6533



(9)
A plane-wave DFT calculation with PBE was carried out for a geometry-optimized TiNbTcSn structure.

Lattice parameters (Å, degrees): 4.6061 4.6061 4.6061 60.00 60.00 60.00
Fractional positions:
Nb1 0.5000 0.5000 0.5000
Ti1 0.2500 0.2500 0.2500
Sn1 0.0000 0.0000 0.0000
Tc1 0.7500 0.7500 0.7500

Calculated values
Magnetization (μB/f.u.): 1.469
Volume (Å³/cell): 69
Symmetry: F-43m (216)
Total energy (eV per atom): -8.2739



(10)
A plane-wave DFT calculation with PBE was carried out for a geometry-optimized Rb2BiPb3 structure.

Lattice parameters (Å, degrees): 6.8068 6.8068 6.9002 89.68 119.32 120.62
Fractional positions:
Rb1 0.7473 0.3733 0.1206
Rb2 0.2527 0.6267 0.8794
Bi1 0.0000 0.0000 0.0000
Pb1 0.5000 0.5000 0.5000
Pb2 0.0000 0.0000 0.5000
Pb3 0.5000 0.0000 0.5000

Calculated values
Magnetization (μB/f.u.): 0.000
Volume (Å³/cell): 227
Symmetry: C2/m (12)
Total energy (eV per atom): -3.0394



(11)
A plane-wave DFT calculation with PBE was carried out for a geometry-optimized Cu2TeRh2 structure.

Lattice parameters (Å, degrees): 6.6911 6.6911 3.6051 90.00 90.00 90.00
Fractional positions:
Te1 0.0000 0.0000 0.0000
Te2 0.5000 0.5000 0.0000
Rh1 0.3530 0.8530 0.0000
Rh2 0.8530 0.6470 0.0000
Rh3 0.6470 0.1470 0.0000
Rh4 0.1470 0.3530 0.0000
Cu1 0.1434 0.6434 0.5000
Cu2 0.6434 0.8566 0.5000
Cu3 0.8566 0.3566 0.5000
Cu4 0.3566 0.1434 0.5000

Calculated values
Magnetization (μB/f.u.): 0.000
Formation energy (no corrections) (eV/atom): 0.1369
Volume (Å³/cell): 161
Symmetry: P4/mbm (127)
Total energy (eV per atom): -5.0705
ΔE to the lowest computed polymorph (meV per atom): 0



(12)
A plane-wave DFT calculation with PBE was carried out for a geometry-optimized Li2TaPb structure.

Lattice parameters (Å, degrees): 2.9856 4.4038 5.8263 90.00 90.00 90.00
Fractional positions:
Li1 0.0000 0.0000 0.9864
Li2 0.0000 0.0000 0.5136
Pb1 0.5000 0.5000 0.2500
Ta1 0.5000 0.5000 0.7500

Calculated values
Magnetization (μB/f.u.): 0.001
Volume (Å³/cell): 77
Symmetry: Pmmm (47)
Total energy (eV per atom): -4.5029



| no. | DOS at the Fermi energy (states/eV/f.u.) | calculated density (Mg/m³) |
| --- | --- | --- |
| 1 | 20.55 | 8.3 |
| 2 | 2.96 | 5.6 |
| 3 | 3.21 | 5.8 |
| 4 | 2.70 | 6.9 |
| 5 | 4.62 | 4.3 |
| 6 | 3.79 | 19.3 |
| 7 | 0.00 | 3.3 |
| 8 | 3.62 | 8.6 |
| 9 | 4.54 | 8.6 |
| 10 | 3.24 | 7.3 |
| 11 | 3.96 | 9.5 |
| 12 | 2.62 | 8.7 |